# 1
# Tl2CoI | the Alexandria database | PBE | optimized geometry
# - energy relative to the lowest polymorph listed for this composition (meV/atom) = 0
# - E_form (uncorrected) (eV per atom) = 0.3958
# - calculated total energy (Ry/atom) = -0.217
data_Tl2CoI
_symmetry_space_group_name_H-M 'I -4 2 d'
_symmetry_Int_Tables_number 122
_symmetry_space_group_name_Hall 'I -4 2bw'
_cell_length_a 6.4346
_cell_length_b 6.4346
_cell_length_c 14.4806
_cell_angle_alpha 90.00
_cell_angle_beta 90.00
_cell_angle_gamma 90.00
loop_
_atom_site_label
_atom_site_type_symbol
_atom_site_fract_x
_atom_site_fract_y
_atom_site_fract_z
Tl1 Tl 0.1311 0.2500 0.1250
Co1 Co 0.0000 0.0000 0.0000
I1 I 0.0000 0.0000 0.5000


# 2
# TlCoI2 | the Alexandria database | PBE | optimized geometry
# - energy relative to the lowest polymorph listed for this composition (meV/atom) = 0
# - E_form (uncorrected) (eV per atom) = -0.0577
# - calculated total energy (Ry/atom) = -0.235
data_TlCoI2
_symmetry_space_group_name_H-M 'I -4 2 d'
_symmetry_Int_Tables_number 122
_symmetry_space_group_name_Hall 'I -4 2bw'
_cell_length_a 8.1429
_cell_length_b 8.1429
_cell_length_c 7.9558
_cell_angle_alpha 90.00
_cell_angle_beta 90.00
_cell_angle_gamma 90.00
loop_
_atom_site_label
_atom_site_type_symbol
_atom_site_fract_x
_atom_site_fract_y
_atom_site_fract_z
Tl1 Tl 0.0000 0.0000 0.0000
Co1 Co 0.0000 0.0000 0.5000
I1 I 0.1531 0.7500 0.6250


# 3
# Tl2CoI6 | the Alexandria database | PBE | optimized geometry
# - E_form (uncorrected) (eV per atom) = -0.2080
# - calculated total energy (Ry/atom) = -0.188
data_Tl2CoI6
_symmetry_space_group_name_H-M 'P 42/m n m'
_symmetry_Int_Tables_number 136
_symmetry_space_group_name_Hall '-P 4n 2n'
_cell_length_a 7.4712
_cell_length_b 7.4712
_cell_length_c 13.2062
_cell_angle_alpha 90.00
_cell_angle_beta 90.00
_cell_angle_gamma 90.00
loop_
_atom_site_label
_atom_site_type_symbol
_atom_site_fract_x
_atom_site_fract_y
_atom_site_fract_z
Tl1 Tl 0.0000 0.0000 0.1533
Co1 Co 0.0000 0.0000 0.5000
I1 I 0.1756 0.1756 0.3584
I2 I 0.2483 0.7517 0.5000


# 4
# TlCoI3 | the Alexandria database | PBE | optimized geometry
# - E_form (uncorrected) (eV per atom) = -0.1027
# - calculated total energy (Ry/atom) = -0.215
data_TlCoI3
_symmetry_space_group_name_H-M 'P m -3 m'
_symmetry_Int_Tables_number 221
_symmetry_space_group_name_Hall '-P 4 2 3'
_cell_length_a 5.4746
_cell_length_b 5.4746
_cell_length_c 5.4746
_cell_angle_alpha 90.00
_cell_angle_beta 90.00
_cell_angle_gamma 90.00
loop_
_atom_site_label
_atom_site_type_symbol
_atom_site_fract_x
_atom_site_fract_y
_atom_site_fract_z
Tl1 Tl 0.0000 0.0000 0.0000
Co1 Co 0.5000 0.5000 0.5000
I1 I 0.0000 0.5000 0.5000